VASP calculation (GGA-PBE) on crystalline Tl2CrW at its relaxed geometry.

The volume comes out at 79.62 Å³ per cell. The calculation puts the energy at -5.832 eV/atom. The spin magnetization comes out at 4.40 μB/f.u. The energy of formation is 23.0 kcal/mol of atoms. The energy above the lowest structure with this stoichiometry comes out at 394.6 meV/atom. The value obtained for the density of states at the Fermi level is 2.38 states/eV/f.u.

Cell: 3.024 3.024 8.708 Å, 90.00 90.00 90.00°
Atoms (fractional coordinates):
Tl  0.000  0.000  0.504
Tl  0.000  0.000  0.996
Cr  0.500  0.500  0.750
W  0.500  0.500  0.250